No. 1
An optimized crystal structure of LiUOs2, computed with PBE.

Cell lengths 4.1236, 4.1236, 3.7171 Å; angles 90.00, 90.00, 90.00 degrees
Space group P4/mmm (No. 123)
Asymmetric unit:
Li  0.0000  0.0000  0.0000 x1
U  0.5000  0.5000  0.0000 x1
Os  0.0000  0.5000  0.5000 x2

* crystal system: tetragonal
* electronic total energy: -8.961 eV/atom
* excess energy over the best structure of this formula in the dataset: 0.00 eV/f.u.
* total magnetization: 0.00 μB/f.u.

No. 2
An optimized crystal structure of LiUOs, computed with PBE.

Cell lengths 4.4268, 10.3287, 4.3918 Å; angles 90.00, 90.00, 90.00 degrees
Space group Cmcm (No. 63)
Asymmetric unit:
Li  0.0000  0.1110  0.2500 x4
U  0.0000  0.4190  0.2500 x4
Os  0.0000  0.2574  0.7500 x4

* crystal system: orthorhombic
* electronic total energy: -8.012 eV/atom
* total magnetization: 1.55 μB/f.u.

No. 3
An optimized crystal structure of LiV2Os2, computed with PBE.

Cell lengths 7.3276, 7.3276, 2.7971 Å; angles 90.00, 90.00, 90.00 degrees
Space group P4/mbm (No. 127)
Asymmetric unit:
Li  0.0000  0.0000  0.0000 x2
V  0.1506  0.3494  0.5000 x4
Os  0.1456  0.6456  0.0000 x4

* crystal system: tetragonal
* electronic total energy: -8.510 eV/atom
* excess energy over the best structure of this formula in the dataset: 0.00 eV/f.u.
* total magnetization: 0.00 μB/f.u.

No. 4
An optimized crystal structure of LiVOs3, computed with PBE.

Cell lengths 4.5101, 4.5101, 4.5101 Å; angles 90.00, 90.00, 90.00 degrees
Space group Pm-3m (No. 221)
Asymmetric unit:
Li  0.0000  0.0000  0.0000 x1
V  0.5000  0.5000  0.5000 x1
Os  0.0000  0.5000  0.5000 x3

* crystal system: cubic
* electronic total energy: -7.396 eV/atom
* excess energy over the best structure of this formula in the dataset: 2.43 eV/f.u.
* total magnetization: 1.36 μB/f.u.

No. 5
An optimized crystal structure of Li2VOs, computed with PBE.

Cell lengths 5.8078, 5.8078, 5.8078 Å; angles 90.00, 90.00, 90.00 degrees
Space group Fm-3m (No. 225)
Asymmetric unit:
Li  0.2500  0.2500  0.2500 x8
V  0.0000  0.0000  0.0000 x4
Os  0.0000  0.0000  0.5000 x4

* crystal system: cubic
* electronic total energy: -5.409 eV/atom
* excess energy over the best structure of this formula in the dataset: 1.05 eV/f.u.
* total magnetization: 0.00 μB/f.u.

No. 6
An optimized crystal structure of LiVOs3, computed with PBE.

Cell lengths 4.0699, 4.0699, 4.0699 Å; angles 90.00, 90.00, 90.00 degrees
Space group Pm-3m (No. 221)
Asymmetric unit:
Li  0.0000  0.0000  0.0000 x1
V  0.5000  0.5000  0.5000 x1
Os  0.0000  0.0000  0.5000 x3

* crystal system: cubic
* electronic total energy: -7.883 eV/atom
* excess energy over the best structure of this formula in the dataset: 0.00 eV/f.u.
* total magnetization: 0.00 μB/f.u.

No. 7
An optimized crystal structure of LiVOs, computed with PBE.

Cell lengths 2.6535, 5.0400, 6.3778 Å; angles 84.04, 78.59, 86.24 degrees
Space group P-1 (No. 2)
Asymmetric unit:
Li  0.1349  0.0543  0.1573 x2
V  0.3790  0.4671  0.8102 x2
Os  0.2445  0.2324  0.5025 x2

* crystal system: triclinic
* electronic total energy: -7.285 eV/atom
* excess energy over the best structure of this formula in the dataset: 0.45 eV/f.u.
* total magnetization: 0.00 μB/f.u.

No. 8
An optimized crystal structure of LiV3Os, computed with PBE.

Cell lengths 4.0514, 4.0514, 4.0514 Å; angles 90.00, 90.00, 90.00 degrees
Space group Pm-3m (No. 221)
Asymmetric unit:
Li  0.0000  0.0000  0.0000 x1
V  0.0000  0.0000  0.5000 x3
Os  0.5000  0.5000  0.5000 x1

* crystal system: cubic
* electronic total energy: -6.973 eV/atom
* excess energy over the best structure of this formula in the dataset: 0.54 eV/f.u.
* total magnetization: 2.15 μB/f.u.

No. 9
An optimized crystal structure of Li2VOs, computed with PBE.

Cell lengths 3.4693, 3.4693, 19.5281 Å; angles 90.00, 90.00, 90.00 degrees
Space group I-42d (No. 122)
Asymmetric unit:
Li  0.2365  0.2500  0.1250 x8
V  0.0000  0.0000  0.5000 x4
Os  0.0000  0.0000  0.0000 x4

* crystal system: tetragonal
* electronic total energy: -5.671 eV/atom
* excess energy over the best structure of this formula in the dataset: 0.00 eV/f.u.
* total magnetization: 0.76 μB/f.u.

No. 10
An optimized crystal structure of LiVOs, computed with PBE.

Cell lengths 4.2165, 4.2165, 2.5706 Å; angles 90.00, 90.00, 120.00 degrees
Space group P3m1 (No. 156)
Asymmetric unit:
Li  0.0000  0.0000  0.0000 x1
V  0.3333  0.6667  0.3349 x1
Os  0.6667  0.3333  0.6304 x1

* crystal system: trigonal
* electronic total energy: -7.435 eV/atom
* excess energy over the best structure of this formula in the dataset: 0.00 eV/f.u.
* total magnetization: 0.00 μB/f.u.

No. 11
An optimized crystal structure of LiV3Os, computed with PBE.

Cell lengths 4.6292, 4.6292, 4.6292 Å; angles 90.00, 90.00, 90.00 degrees
Space group Pm-3m (No. 221)
Asymmetric unit:
Li  0.0000  0.0000  0.0000 x1
V  0.0000  0.5000  0.5000 x3
Os  0.5000  0.5000  0.5000 x1

* crystal system: cubic
* electronic total energy: -7.081 eV/atom
* excess energy over the best structure of this formula in the dataset: 0.00 eV/f.u.
* total magnetization: 0.84 μB/f.u.

No. 12
An optimized crystal structure of LiY2VOs, computed with PBE.

Cell lengths 5.4610, 5.4610, 4.6636 Å; angles 90.00, 90.00, 90.00 degrees
Space group P4/mmm (No. 123)
Asymmetric unit:
Li  0.0000  0.0000  0.0000 x1
Y  0.0000  0.5000  0.5000 x2
V  0.5000  0.5000  0.0000 x1
Os  0.5000  0.5000  0.5000 x1

* crystal system: tetragonal
* electronic total energy: -6.732 eV/atom
* total magnetization: 2.19 μB/f.u.

No. 13
An optimized crystal structure of Li2VZnOs, computed with PBE.

Cell lengths 4.7025, 4.7025, 4.4375 Å; angles 90.00, 90.00, 90.00 degrees
Space group P4/mmm (No. 123)
Asymmetric unit:
Li  0.0000  0.5000  0.0000 x2
V  0.0000  0.0000  0.5000 x1
Zn  0.5000  0.5000  0.5000 x1
Os  0.0000  0.0000  0.0000 x1

* crystal system: tetragonal
* electronic total energy: -4.193 eV/atom
* total magnetization: 0.00 μB/f.u.

No. 14
An optimized crystal structure of LiOs2W, computed with PBE.

Cell lengths 3.0953, 3.0953, 5.7860 Å; angles 90.00, 90.00, 90.00 degrees
Space group P4mm (No. 99)
Asymmetric unit:
Li  0.0000  0.0000  0.0000 x1
Os  0.0000  0.0000  0.5001 x1
Os  0.5000  0.5000  0.1936 x1
W  0.5000  0.5000  0.7563 x1

* crystal system: tetragonal
* electronic total energy: -8.880 eV/atom
* total magnetization: 0.00 μB/f.u.

No. 15
An optimized crystal structure of LiOs2W, computed with PBE.

Cell lengths 2.7059, 4.1884, 5.1350 Å; angles 90.00, 103.20, 90.00 degrees
Space group Pm (No. 6)
Asymmetric unit:
Li  0.0000  0.0000  0.0000 x1
Os  0.4801  0.0000  0.4937 x1
Os  0.8147  0.5000  0.2458 x1
W  0.3001  0.5000  0.7674 x1

* crystal system: monoclinic
* electronic total energy: -9.092 eV/atom
* total magnetization: 0.00 μB/f.u.

No. 16
An optimized crystal structure of LiOs2W, computed with PBE.

Cell lengths 8.5063, 2.7277, 4.9467 Å; angles 90.00, 95.67, 90.00 degrees
Space group C2/m (No. 12)
Asymmetric unit:
Li  0.0000  0.0000  0.0000 x2
Os  0.2466  0.0000  0.7679 x4
W  0.0000  0.5000  0.5000 x2

* crystal system: monoclinic
* electronic total energy: -9.098 eV/atom
* total magnetization: 0.00 μB/f.u.

No. 17
An optimized crystal structure of LiOs3W, computed with PBE.

Cell lengths 4.0888, 4.0888, 4.0888 Å; angles 90.00, 90.00, 90.00 degrees
Space group Pm-3m (No. 221)
Asymmetric unit:
Li  0.0000  0.0000  0.0000 x1
Os  0.0000  0.0000  0.5000 x3
W  0.5000  0.5000  0.5000 x1

* crystal system: cubic
* electronic total energy: -8.704 eV/atom
* excess energy over the best structure of this formula in the dataset: 0.00 eV/f.u.
* total magnetization: 0.00 μB/f.u.

No. 18
An optimized crystal structure of LiOsW2, computed with PBE.

Cell lengths 3.2335, 4.2467, 4.2638 Å; angles 90.00, 90.00, 90.00 degrees
Space group Pmmm (No. 47)
Asymmetric unit:
Li  0.0000  0.0000  0.0000 x1
Os  0.5000  0.0000  0.5000 x1
W  0.0000  0.5000  0.5000 x1
W  0.5000  0.5000  0.0000 x1

* crystal system: orthorhombic
* electronic total energy: -9.376 eV/atom
* total magnetization: 0.00 μB/f.u.

No. 19
An optimized crystal structure of LiOs2W, computed with PBE.

Cell lengths 3.0918, 3.0918, 5.8090 Å; angles 90.00, 90.00, 90.00 degrees
Space group P4/mmm (No. 123)
Asymmetric unit:
Li  0.0000  0.0000  0.0000 x1
Os  0.5000  0.5000  0.2353 x2
W  0.0000  0.0000  0.5000 x1

* crystal system: tetragonal
* electronic total energy: -9.185 eV/atom
* total magnetization: 0.00 μB/f.u.

No. 20
An optimized crystal structure of LiOsW2, computed with PBE.

Cell lengths 2.6708, 4.3419, 5.1852 Å; angles 90.00, 98.88, 90.00 degrees
Space group Pm (No. 6)
Asymmetric unit:
Li  0.0000  0.0000  0.0000 x1
Os  0.7705  0.5000  0.2428 x1
W  0.2919  0.5000  0.7643 x1
W  0.5388  0.0000  0.4902 x1

* crystal system: monoclinic
* electronic total energy: -9.493 eV/atom
* total magnetization: 0.00 μB/f.u.